[1]
Entry from the Alexandria database: a geometry-optimized BaMn2Cl structure (PBE).

Values from the calculation:
N(E_F): 3.71 states/eV/f.u.
Crystal system: orthorhombic
E: -5.1808 eV per atom
Space-group type: Pmmm, No. 47

a b c (Å): 3.800 5.728 5.797
angles (deg): 90.00 90.00 90.00
Positions (direct):
Ba 0.000 0.000 0.000
Mn 0.500 0.500 0.234
Mn 0.500 0.500 0.766
Cl 0.000 0.000 0.500



[2]
Entry from the Alexandria database: a geometry-optimized NdEuZnCu structure (PBE).

Values from the calculation:
N(E_F): 6.43 states/eV/f.u.
Crystal system: cubic
Formation energy from the elements: -0.17 eV per atom
Space-group type: F-43m, No. 216

a b c (Å): 5.183 5.183 5.183
angles (deg): 60.00 60.00 60.00
Positions (direct):
Nd 0.000 0.000 0.000
Eu 0.500 0.500 0.500
Zn 0.250 0.250 0.250
Cu 0.750 0.750 0.750



[3]
Entry from the Alexandria database: a geometry-optimized CaSbPb2 structure (PBE).

Values from the calculation:
N(E_F): 1.87 states/eV/f.u.
Crystal system: orthorhombic
E: -3.6350 eV per atom
Space-group type: Cmm2, No. 35

a b c (Å): 3.655 3.655 9.116
angles (deg): 90.00 90.00 90.30
Positions (direct):
Ca 0.000 0.000 0.000
Sb 0.500 0.500 0.226
Pb 0.000 0.000 0.488
Pb 0.500 0.500 0.736



[4]
Entry from the Alexandria database: a geometry-optimized BaZrTa3 structure (PBE).

Values from the calculation:
N(E_F): 8.25 states/eV/f.u.
Crystal system: cubic
Formation energy from the elements: 1.65 eV per atom
Space-group type: Pm-3m, No. 221

a b c (Å): 5.154 5.154 5.154
angles (deg): 90.00 90.00 90.00
Positions (direct):
Ba 0.000 0.000 0.000
Zr 0.500 0.500 0.500
Ta 0.000 0.500 0.500
Ta 0.500 0.000 0.500
Ta 0.500 0.500 0.000



[5]
Entry from the Alexandria database: a geometry-optimized RbB2Se3 structure (PBE).

Values from the calculation:
N(E_F): 0.81 states/eV/f.u.
Crystal system: monoclinic
E: -4.2307 eV per atom
Space-group type: C2/m, No. 12

a b c (Å): 10.452 10.452 7.471
angles (deg): 97.40 97.40 21.57
Positions (direct):
Rb 0.140 0.140 0.446
Rb 0.860 0.860 0.554
B 0.199 0.199 0.011
B 0.439 0.439 0.051
B 0.561 0.561 0.949
B 0.801 0.801 0.989
Se 0.106 0.106 0.881
Se 0.279 0.279 0.856
Se 0.469 0.469 0.800
Se 0.531 0.531 0.200
Se 0.721 0.721 0.144
Se 0.894 0.894 0.119



[6]
Entry from the Alexandria database: a geometry-optimized Mo2WSe4S2 structure (PBE).

Values from the calculation:
Crystal system: trigonal
E: -7.0304 eV per atom
Space-group type: P3m1, No. 156

a b c (Å): 3.275 3.275 22.055
angles (deg): 90.00 90.00 120.00
Positions (direct):
Mo 0.000 0.000 0.000
Mo 0.333 0.667 0.332
W 0.333 0.667 0.678
Se 0.000 0.000 0.255
Se 0.000 0.000 0.408
Se 0.333 0.667 0.077
Se 0.333 0.667 0.923
S 0.000 0.000 0.608
S 0.000 0.000 0.748



[7]
Entry from the Alexandria database: a geometry-optimized MgScNb2S structure (PBE).

Values from the calculation:
N(E_F): 6.76 states/eV/f.u.
Crystal system: tetragonal
E: -6.5994 eV per atom
Space-group type: P4/mmm, No. 123

a b c (Å): 4.629 4.629 4.850
angles (deg): 90.00 90.00 90.00
Positions (direct):
Mg 0.000 0.000 0.000
Sc 0.500 0.500 0.000
Nb 0.000 0.500 0.500
Nb 0.500 0.000 0.500
S 0.500 0.500 0.500



[8]
Entry from the Alexandria database: a geometry-optimized HoMg2F8 structure (PBE).

Values from the calculation:
N(E_F): 7.76 states/eV/f.u.
Crystal system: tetragonal
E: -5.3240 eV per atom
Space-group type: I4/mmm, No. 139

a b c (Å): 6.432 6.432 6.432
angles (deg): 133.61 133.61 67.69
Positions (direct):
Ho 0.000 0.000 0.000
Mg 0.250 0.750 0.500
Mg 0.750 0.250 0.500
F 0.109 0.109 0.488
F 0.109 0.621 0.000
F 0.379 0.379 0.488
F 0.379 0.891 0.000
F 0.621 0.109 0.000
F 0.621 0.621 0.512
F 0.891 0.379 0.000
F 0.891 0.891 0.512



[9]
Entry from the Alexandria database: a geometry-optimized Ce5Ir2Au2 structure (PBE).

Values from the calculation:
N(E_F): 26.96 states/eV/f.u.
Crystal system: orthorhombic
Formation energy from the elements: -0.64 eV per atom
Space-group type: Cmce, No. 64

a b c (Å): 8.571 8.571 7.700
angles (deg): 90.00 90.00 53.20
Positions (direct):
Ce 0.000 0.000 0.000
Ce 0.046 0.700 0.669
Ce 0.200 0.546 0.169
Ce 0.300 0.954 0.669
Ce 0.454 0.800 0.169
Ce 0.500 0.500 0.500
Ce 0.546 0.200 0.831
Ce 0.700 0.046 0.331
Ce 0.800 0.454 0.831
Ce 0.954 0.300 0.331
Ir 0.135 0.865 0.365
Ir 0.365 0.635 0.865
Ir 0.635 0.365 0.135
Ir 0.865 0.135 0.635
Au 0.212 0.212 0.000
Au 0.288 0.288 0.500
Au 0.712 0.712 0.500
Au 0.788 0.788 0.000



[10]
Entry from the Alexandria database: a geometry-optimized Al2HgBr structure (PBE).

Values from the calculation:
N(E_F): 3.43 states/eV/f.u.
Crystal system: cubic
E: -2.0446 eV per atom
Space-group type: F-43m, No. 216

a b c (Å): 5.174 5.174 5.174
angles (deg): 60.00 60.00 60.00
Positions (direct):
Al 0.000 0.000 0.000
Al 0.250 0.250 0.250
Hg 0.750 0.750 0.750
Br 0.500 0.500 0.500



[11]
Entry from the Alexandria database: a geometry-optimized NbTcB4 structure (PBE).

Values from the calculation:
N(E_F): 1.98 states/eV/f.u.
Crystal system: orthorhombic
Formation energy from the elements: -0.33 eV per atom
Space-group type: Cmmm, No. 65

a b c (Å): 5.811 5.811 3.422
angles (deg): 90.00 90.00 103.28
Positions (direct):
Nb 0.198 0.802 0.000
Nb 0.802 0.198 0.000
Tc 0.314 0.314 0.000
Tc 0.686 0.686 0.000
B 0.114 0.437 0.500
B 0.117 0.117 0.500
B 0.403 0.597 0.500
B 0.437 0.114 0.500
B 0.563 0.886 0.500
B 0.597 0.403 0.500
B 0.883 0.883 0.500
B 0.886 0.563 0.500



[12]
Entry from the Alexandria database: a geometry-optimized TlTeSeI2 structure (PBE).

Values from the calculation:
N(E_F): 4.62 states/eV/f.u.
Crystal system: tetragonal
E: -2.4078 eV per atom
Space-group type: P4/mmm, No. 123

a b c (Å): 5.852 5.852 5.633
angles (deg): 90.00 90.00 90.00
Positions (direct):
Tl 0.000 0.000 0.000
Te 0.500 0.500 0.000
Se 0.500 0.500 0.500
I 0.000 0.500 0.500
I 0.500 0.000 0.500



For the records above, the corresponding size of the total moment values read 8.54, 7.19, 0.00, 0.79, 0.00, 0.00, 0.00, 1.02, 3.52, 0.00, 0.00, 0.00 μB/f.u..